Density functional theory data (PBE) for an optimized crystal structure of EuSc2Bi.

```
data_EuSc2Bi
_space_group_name_H-M_alt 'P 4/m m m'
_space_group_IT_number 123
_space_group_name_Hall '-P 4 2'
_cell_length_a 4.7726
_cell_length_b 4.7726
_cell_length_c 4.7355
_cell_angle_alpha 90.00
_cell_angle_beta 90.00
_cell_angle_gamma 90.00
loop_
_atom_site_label
_atom_site_type_symbol
_atom_site_fract_x
_atom_site_fract_y
_atom_site_fract_z
Eu1 Eu 0.0000 0.0000 0.0000
Sc1 Sc 0.0000 0.5000 0.5000
Bi1 Bi 0.5000 0.5000 0.0000
```

Results
Total DFT energy (no corrections) (eV/cell): -27.891
Formation enthalpy at 0 K (meV/atom): -268
Crystal system: tetragonal